This record from Alexandria via LeMat-Bulk describes a relaxed PaCoP2Ru2 crystal. The functional is PBE-GGA.

Values from the calculation:
* SG: No. 139
* DOS(E_F): 3.6 states/eV per cell
* calculated total energy: -7.7540 eV per atom

POSCAR file:
```
PaCoP2Ru2
1.0
-1.933 1.933 8.063
1.933 -1.933 8.063
1.933 1.933 -8.063
Pa Co P Ru
1 1 2 2
direct
0.000 0.000 0.000 Pa
0.500 0.500 0.000 Co
0.173 0.173 0.000 P
0.827 0.827 0.000 P
0.250 0.750 0.500 Ru
0.750 0.250 0.500 Ru
```

This record from Alexandria via LeMat-Bulk describes a relaxed Pa2CoP4Ru3 crystal. The functional is PBE-GGA.

Values from the calculation:
* SG: No. 115
* DOS(E_F): 6.3 states/eV per cell
* calculated total energy: -8.4658 eV per atom

POSCAR file:
```
Pa2CoP4Ru3
1.0
4.105 0.000 0.000
0.000 4.105 0.000
0.000 0.000 9.303
Pa Co P Ru
2 1 4 3
direct
0.000 0.500 0.248 Pa
0.500 0.000 0.752 Pa
0.000 0.000 0.500 Co
0.000 0.000 0.000 P
0.000 0.500 0.632 P
0.500 0.000 0.368 P
0.500 0.500 0.000 P
0.000 0.500 0.882 Ru
0.500 0.000 0.118 Ru
0.500 0.500 0.500 Ru
```

This record from Alexandria via LeMat-Bulk describes a relaxed Pa4CoPS2 crystal. The functional is PBE-GGA.

Values from the calculation:
* SG: No. 10
* DOS(E_F): 12.3 states/eV per cell
* calculated total energy: -8.4890 eV per atom

POSCAR file:
```
Pa4CoPS2
1.0
6.835 0.000 0.000
0.000 3.778 0.000
-2.231 0.000 6.584
Pa Co P S
4 1 1 2
direct
0.233 0.000 0.233 Pa
0.249 0.500 0.753 Pa
0.751 0.500 0.247 Pa
0.767 0.000 0.767 Pa
0.000 0.500 0.000 Co
0.000 0.000 0.500 P
0.500 0.000 0.000 S
0.500 0.500 0.500 S
```

This record from Alexandria via LeMat-Bulk describes a relaxed ScPaCo5P2 crystal. The functional is PBE-GGA.

Values from the calculation:
* SG: No. 123
* DOS(E_F): 7.8 states/eV per cell
* calculated total energy: -7.5416 eV per atom

POSCAR file:
```
ScPaCo5P2
1.0
3.882 0.000 0.000
0.000 3.882 0.000
0.000 0.000 8.017
Sc Pa Co P
1 1 5 2
direct
0.000 0.000 0.000 Sc
0.000 0.000 0.500 Pa
0.000 0.500 0.227 Co
0.000 0.500 0.773 Co
0.500 0.000 0.227 Co
0.500 0.000 0.773 Co
0.500 0.500 0.000 Co
0.500 0.500 0.348 P
0.500 0.500 0.652 P
```